# 1
The following is a PBE calculation of a geometry-optimized AsP2Pb structure, from Alexandria.

DOS at the Fermi energy   0.84 states/eV per atom
Offset from the most stable computed form   0.168 eV per atom
Formation energy   0.369 eV per atom
SG   No. 12
Magnetization   0.00 μB/f.u.
Electronic total energy   -17.7 eV per formula unit

Cell and atoms, written as extended XYZ:
```
4
Lattice="-4.749 -0.029 -0.633 1.254 -3.631 2.865 -2.179 0.466 4.284" Properties=species:S:1:pos:R:3 pbc="T T T"
P 0.000 0.000 0.000
P -3.464 0.219 1.825
Pb -0.463 -1.582 3.574
As -1.747 -1.830 1.116
```



# 2
The following is a PBE calculation of a geometry-optimized TlNiHg2Sb structure, from Alexandria.

DOS at the Fermi energy   0.56 states/eV per atom
SG   No. 123
Magnetization   0.00 μB/f.u.
Electronic total energy   -12.5 eV per formula unit
Formation energy (no corrections)   0.07 eV per atom

Cell and atoms, written as extended XYZ:
```
5
Lattice="5.136 0.000 0.000 0.000 5.136 0.000 0.000 0.000 4.938" Properties=species:S:1:pos:R:3 pbc="T T T"
Ni 0.000 0.000 0.000
Hg 2.568 0.000 0.000
Hg 0.000 2.568 0.000
Tl 2.568 2.568 2.469
Sb 0.000 0.000 2.469
```



# 3
The following is a PBE calculation of a geometry-optimized Tb5Tl2Au structure, from Alexandria.

DOS at the Fermi energy   1.21 states/eV per atom
Offset from the most stable computed form   0.114 eV per atom
Formation energy   -0.292 eV per atom
SG   No. 107
Magnetization   0.00 μB/f.u.
Electronic total energy   -33.5 eV per formula unit

Cell and atoms, written as extended XYZ:
```
8
Lattice="7.006 0.001 0.000 0.001 7.006 0.000 -3.504 -3.503 4.444" Properties=species:S:1:pos:R:3 pbc="T T T"
Tb 1.728 1.728 4.236
Tb 1.725 -1.725 4.237
Tb 3.505 3.504 2.100
Tl 0.001 3.503 2.036
Au 0.000 0.000 1.566
Tb -1.725 1.725 4.237
Tl 3.503 0.001 2.036
Tb -1.727 -1.727 4.235
```



# 4
The following is a PBE calculation of a geometry-optimized Si2TcTe structure, from Alexandria.

DOS at the Fermi energy   0.69 states/eV per atom
SG   No. 44
Magnetization   0.00 μB/f.u.
Electronic total energy   -22.4 eV per formula unit
Formation energy (no corrections)   0.49 eV per atom

Cell and atoms, written as extended XYZ:
```
4
Lattice="5.035 -0.017 -0.006 1.448 4.823 0.006 -2.636 -3.220 2.835" Properties=species:S:1:pos:R:3 pbc="T T T"
Te 2.945 -0.324 1.415
Si 0.964 1.956 1.421
Si 0.169 0.125 0.000
Tc 3.010 2.231 0.000
```



# 5
The following is a PBE calculation of a geometry-optimized ZrScNO structure, from Alexandria.

DOS at the Fermi energy   0.29 states/eV per atom
SG   No. 160
Magnetization   0.00 μB/f.u.
Electronic total energy   -36.9 eV per formula unit
Formation energy (no corrections)   -2.18 eV per atom

Cell and atoms, written as extended XYZ:
```
4
Lattice="-0.173 -1.331 2.868 -2.260 -0.564 -2.146 3.745 -3.333 -3.068" Properties=species:S:1:pos:R:3 pbc="T T T"
Zr -1.834 -1.015 -1.999
O 0.338 -2.721 0.835
Sc 2.009 -2.875 -0.883
N 1.951 -3.597 -2.969
```



# 6
The following is a PBE calculation of a geometry-optimized TbPm2Sm3As6 structure, from Alexandria.

DOS at the Fermi energy   0.15 states/eV per atom
Formation energy   -1.528 eV per atom
SG   No. 12
Magnetization   0.00 μB/f.u.
Electronic total energy   -74.5 eV per formula unit

Cell and atoms, written as extended XYZ:
```
12
Lattice="-1.296 -1.139 3.843 1.257 -8.087 -1.974 8.725 3.164 1.572" Properties=species:S:1:pos:R:3 pbc="T T T"
Pm 3.101 -1.827 0.504
Tb -0.648 -0.570 1.921
As 2.126 -0.370 2.916
Sm 4.941 -0.187 3.920
As 2.774 -4.429 1.931
Sm -0.020 -4.613 0.934
Pm 5.585 -4.235 2.937
Sm 3.744 -5.875 -0.479
As 7.728 0.029 4.924
As 5.912 -1.633 1.510
As 6.559 -5.691 0.525
As 0.957 -6.091 -1.483
```



- What is the electronic total energy in the sixth record?
  -74.5 eV per formula unit